## TmGa4NiPt2 (GGA-PBE)

Data for a relaxed structure of TmGa4NiPt2.

a b c (Å): 8.772 8.772 8.772
angles (deg): 28.07 28.07 28.07
Element x y z (fractional)
Tm1 0.000 0.000 0.000
Ga1 0.135 0.135 0.135
Ga2 0.398 0.398 0.398
Ga3 0.602 0.602 0.602
Ga4 0.865 0.865 0.865
Ni1 0.500 0.500 0.500
Pt1 0.243 0.243 0.243
Pt2 0.757 0.757 0.757

Results
spin magnetization = 0.000 μB/f.u.
energy of formation from the pure elements = -628 meV per atom
SG = R-3m, No. 166
uncorrected energy = -4.9333 eV per atom

=====

## TmGa2NiPt4 (GGA-PBE)

Data for a relaxed structure of TmGa2NiPt4.

a b c (Å): 8.431 8.431 8.431
angles (deg): 29.80 29.80 29.80
Element x y z (fractional)
Tm1 0.000 0.000 0.000
Ga1 0.242 0.242 0.242
Ga2 0.758 0.758 0.758
Ni1 0.500 0.500 0.500
Pt1 0.129 0.129 0.129
Pt2 0.397 0.397 0.397
Pt3 0.603 0.603 0.603
Pt4 0.871 0.871 0.871

Results
spin magnetization = 0.002 μB/f.u.
energy of formation from the pure elements = -702 meV per atom
SG = R-3m, No. 166
uncorrected energy = -5.7608 eV per atom

=====

## Tm2Ga3Ni4Pt (GGA-PBE)

Data for a relaxed structure of Tm2Ga3Ni4Pt.

a b c (Å): 3.794 3.794 11.134
angles (deg): 90.00 90.00 90.00
Element x y z (fractional)
Tm1 0.000 0.500 0.237
Tm2 0.500 0.000 0.763
Ga1 0.000 0.000 0.000
Ga2 0.000 0.500 0.631
Ga3 0.500 0.000 0.369
Ni1 0.000 0.000 0.500
Ni2 0.000 0.500 0.843
Ni3 0.500 0.000 0.157
Ni4 0.500 0.500 0.500
Pt1 0.500 0.500 0.000

Results
spin magnetization = 0.000 μB/f.u.
energy of formation from the pure elements = -591 meV per atom
SG = P-4m2, No. 115
uncorrected energy = -5.3097 eV per atom

=====

## Tm2Ga4NiPt3 (GGA-PBE)

Data for a relaxed structure of Tm2Ga4NiPt3.

a b c (Å): 3.962 3.962 11.401
angles (deg): 90.00 90.00 90.00
Element x y z (fractional)
Tm1 0.000 0.500 0.245
Tm2 0.500 0.000 0.755
Ga1 0.000 0.000 0.500
Ga2 0.000 0.500 0.870
Ga3 0.500 0.000 0.130
Ga4 0.500 0.500 0.500
Ni1 0.500 0.500 0.000
Pt1 0.000 0.000 0.000
Pt2 0.000 0.500 0.651
Pt3 0.500 0.000 0.349

Results
spin magnetization = 0.000 μB/f.u.
energy of formation from the pure elements = -854 meV per atom
SG = P-4m2, No. 115
uncorrected energy = -5.3495 eV per atom

=====

## Tm2Ga3NiPt4 (GGA-PBE)

Data for a relaxed structure of Tm2Ga3NiPt4.

a b c (Å): 4.013 4.013 11.187
angles (deg): 90.00 90.00 90.00
Element x y z (fractional)
Tm1 0.000 0.500 0.235
Tm2 0.500 0.000 0.765
Ga1 0.000 0.000 0.000
Ga2 0.000 0.500 0.637
Ga3 0.500 0.000 0.363
Ni1 0.500 0.500 0.000
Pt1 0.000 0.000 0.500
Pt2 0.000 0.500 0.855
Pt3 0.500 0.000 0.145
Pt4 0.500 0.500 0.500

Results
spin magnetization = 0.000 μB/f.u.
energy of formation from the pure elements = -866 meV per atom
SG = P-4m2, No. 115
uncorrected energy = -5.6630 eV per atom

=====

## TmGa3NiPt (GGA-PBE)

Data for a relaxed structure of TmGa3NiPt.

a b c (Å): 6.797 6.797 5.711
angles (deg): 90.00 90.00 127.58
Element x y z (fractional)
Tm1 0.227 0.773 0.750
Tm2 0.773 0.227 0.250
Ga1 0.209 0.209 0.000
Ga2 0.209 0.209 0.500
Ga3 0.358 0.642 0.250
Ga4 0.642 0.358 0.750
Ga5 0.791 0.791 0.000
Ga6 0.791 0.791 0.500
Ni1 0.439 0.561 0.750
Ni2 0.561 0.439 0.250
Pt1 0.155 0.845 0.250
Pt2 0.845 0.155 0.750

Results
spin magnetization = 0.000 μB/f.u.
energy of formation from the pure elements = -528 meV per atom
SG = Cmcm, No. 63
uncorrected energy = -4.7566 eV per atom